Entry 1:
{
  "formula": "AsPdPt2",
  "functional": "GGA-PBE",
  "state": "optimized geometry",
  "ef_ev_per_atom": -0.0971,
  "magnetic_moment_mub_per_cell": 0.0,
  "lattice": [[4.309, 0.000, 0.000], [2.154, 3.731, 0.000], [2.154, 1.244, 4.236]],
  "species": ["Pt", "As", "Pt", "Pd"],
  "fractional_positions": [[0.047, 0.047, 0.860], [0.689, 0.689, 0.934], [0.269, 0.269, 0.194], [0.496, 0.496, 0.511]]
}

=====

Entry 2:
{
  "formula": "As4Pd5Pt",
  "functional": "GGA-PBE",
  "state": "optimized geometry",
  "ef_ev_per_atom": -0.2290,
  "magnetic_moment_mub_per_cell": 0.0,
  "lattice": [[5.608, 0.000, 0.000], [0.000, 8.216, 0.000], [0.000, 0.000, 8.440]],
  "species": ["As", "Pd", "Pd", "Pd", "Pd", "Pt", "Pd", "As", "Pt", "As", "As", "Pd", "Pd", "Pd", "As", "Pd", "Pd", "As", "As", "As"],
  "fractional_positions": [[0.539, 0.744, 0.500], [0.250, 0.253, 0.737], [0.750, 0.753, 0.237], [0.250, 0.747, 0.737], [0.750, 0.753, 0.763], [0.737, 0.000, 0.000], [0.250, 0.747, 0.263], [0.988, 0.500, 0.739], [0.263, 0.500, 0.500], [0.012, 0.000, 0.761], [0.012, 0.000, 0.239], [0.726, 0.500, 0.000], [0.750, 0.247, 0.237], [0.750, 0.247, 0.763], [0.461, 0.756, 0.000], [0.274, 0.000, 0.500], [0.250, 0.253, 0.263], [0.988, 0.500, 0.261], [0.461, 0.244, 0.000], [0.539, 0.256, 0.500]]
}

=====

Entry 3:
{
  "formula": "AsPdPt3",
  "functional": "GGA-PBE",
  "state": "optimized geometry",
  "polymorph_energy_mev_per_atom": 54,
  "ef_ev_per_atom": -0.1210,
  "magnetic_moment_mub_per_cell": 0.0,
  "lattice": [[-1.447, 1.803, 3.133], [-2.497, -4.883, 1.674], [6.548, -2.802, 2.244]],
  "species": ["As", "Pt", "Pt", "Pt", "Pd", "Pd", "Pt", "Pt", "Pt", "As"],
  "fractional_positions": [[0.042, 0.746, 0.343], [0.435, 0.854, 0.128], [0.586, 0.475, 0.429], [0.245, 0.749, 0.747], [0.821, 0.040, 0.900], [0.009, 0.184, 0.275], [0.629, 0.964, 0.514], [0.202, 0.260, 0.662], [0.396, 0.370, 0.047], [0.789, 0.479, 0.833]]
}

=====

Entry 4:
{
  "formula": "AsPd3Pt",
  "functional": "GGA-PBE",
  "state": "optimized geometry",
  "polymorph_energy_mev_per_atom": 0,
  "ef_ev_per_atom": -0.1542,
  "magnetic_moment_mub_per_cell": 0.0,
  "lattice": [[-1.242, -2.024, 3.189], [2.913, -3.161, -3.351], [7.167, 1.725, 3.888]],
  "species": ["As", "Pd", "As", "Pd", "Pd", "Pd", "Pd", "Pt", "Pt", "Pd"],
  "fractional_positions": [[0.268, 0.537, 0.166], [0.914, 0.828, 0.143], [0.732, 0.463, 0.834], [0.617, 0.234, 0.119], [0.890, 0.780, 0.609], [0.086, 0.172, 0.857], [0.110, 0.220, 0.391], [0.595, 0.190, 0.609], [0.405, 0.810, 0.391], [0.383, 0.766, 0.881]]
}

=====

Entry 5:
{
  "formula": "AsPdPt2",
  "functional": "GGA-PBE",
  "state": "optimized geometry",
  "ef_ev_per_atom": -0.2102,
  "magnetic_moment_mub_per_cell": 0.0,
  "lattice": [[-0.045, 3.286, 1.703], [-3.132, -3.553, 2.747], [5.459, -1.886, 3.785]],
  "species": ["Pt", "As", "Pt", "Pt", "Pt", "Pd", "As", "Pd"],
  "fractional_positions": [[0.366, 0.732, 0.982], [0.209, 0.419, 0.250], [0.634, 0.268, 0.482], [0.366, 0.732, 0.518], [0.634, 0.268, 0.018], [0.028, 0.058, 0.750], [0.791, 0.581, 0.750], [0.972, 0.942, 0.250]]
}

=====

Entry 6:
{
  "formula": "AsPd3Pt",
  "functional": "GGA-PBE",
  "state": "optimized geometry",
  "polymorph_energy_mev_per_atom": 594,
  "ef_ev_per_atom": 0.4400,
  "magnetic_moment_mub_per_cell": 0.0,
  "lattice": [[4.583, 0.000, 0.000], [0.000, 4.583, 0.000], [0.000, 0.000, 4.583]],
  "species": ["Pd", "Pd", "As", "Pd", "Pt"],
  "fractional_positions": [[0.500, 0.000, 0.000], [0.000, 0.000, 0.500], [0.000, 0.000, 0.000], [0.000, 0.500, 0.000], [0.500, 0.500, 0.500]]
}

=====

Entry 7:
{
  "formula": "As2Pd3Pt",
  "functional": "GGA-PBE",
  "state": "optimized geometry",
  "ef_ev_per_atom": -0.2377,
  "magnetic_moment_mub_per_cell": 0.0,
  "lattice": [[-1.028, -3.221, 0.920], [3.890, -0.680, 1.919], [-2.031, 3.942, 5.037]],
  "species": ["Pd", "As", "Pd", "Pt", "As", "Pd"],
  "fractional_positions": [[0.814, 0.333, 0.635], [0.639, 0.102, 0.281], [0.186, 0.667, 0.365], [0.000, 0.000, 0.000], [0.361, 0.898, 0.719], [0.500, 0.500, 0.000]]
}

=====

Entry 8:
{
  "formula": "AsPd14Pt",
  "functional": "GGA-PBE",
  "state": "optimized geometry",
  "ef_ev_per_atom": -0.0475,
  "magnetic_moment_mub_per_cell": 0.0,
  "lattice": [[5.569, -0.330, 0.000], [-2.486, 4.994, 0.000], [0.000, 0.000, 9.163]],
  "species": ["Pd", "Pd", "Pd", "Pd", "Pd", "Pd", "As", "Pd", "Pd", "Pd", "Pd", "Pt", "Pd", "Pd", "Pd", "Pd"],
  "fractional_positions": [[0.209, 0.791, 0.000], [0.876, 0.124, 0.752], [0.876, 0.124, 0.248], [0.875, 0.624, 0.747], [0.545, 0.960, 0.500], [0.377, 0.623, 0.252], [0.526, 0.474, 0.500], [0.875, 0.624, 0.253], [0.040, 0.455, 0.500], [0.709, 0.291, 0.000], [0.376, 0.125, 0.253], [0.042, 0.958, 0.500], [0.376, 0.125, 0.747], [0.709, 0.790, 0.000], [0.377, 0.623, 0.748], [0.210, 0.291, 0.000]]
}

=====

Entry 9:
{
  "formula": "AsPdPt3",
  "functional": "GGA-PBE",
  "state": "optimized geometry",
  "polymorph_energy_mev_per_atom": 1594,
  "ef_ev_per_atom": 1.4190,
  "magnetic_moment_mub_per_cell": 0.6,
  "lattice": [[-3.659, -2.359, -2.066], [2.734, -0.844, -3.878], [1.536, -4.117, 1.979]],
  "species": ["Pt", "Pt", "Pt", "As", "Pd"],
  "fractional_positions": [[0.000, 0.000, 0.500], [0.500, 0.000, 0.000], [0.000, 0.500, 0.000], [0.500, 0.500, 0.500], [0.000, 0.000, 0.000]]
}

=====

Entry 10:
{
  "formula": "As2PdPt",
  "functional": "GGA-PBE",
  "state": "optimized geometry",
  "polymorph_energy_mev_per_atom": 12,
  "ef_ev_per_atom": -0.1232,
  "magnetic_moment_mub_per_cell": 0.0,
  "lattice": [[-1.951, -0.069, 5.828], [-5.817, -0.358, -1.952], [-3.618, -4.737, 1.973]],
  "species": ["As", "Pt", "As", "Pd", "Pd", "As", "Pt", "As"],
  "fractional_positions": [[0.122, 0.625, 0.250], [0.000, 0.000, 0.000], [0.375, 0.372, 0.750], [0.500, 0.500, 0.000], [0.250, 0.750, 0.500], [0.628, 0.125, 0.250], [0.750, 0.250, 0.500], [0.875, 0.878, 0.750]]
}

=====

Entry 11:
{
  "formula": "As2PdPt",
  "functional": "GGA-PBE",
  "state": "optimized geometry",
  "polymorph_energy_mev_per_atom": 0,
  "ef_ev_per_atom": -0.1348,
  "magnetic_moment_mub_per_cell": 0.0,
  "lattice": [[-4.407, 0.564, 0.958], [-1.975, 4.037, -0.678], [-3.008, 0.522, -3.367]],
  "species": ["As", "Pd", "As", "Pt"],
  "fractional_positions": [[0.250, 0.250, 0.250], [0.000, 0.000, 0.000], [0.750, 0.750, 0.750], [0.500, 0.500, 0.500]]
}

=====

Entry 12:
{
  "formula": "AsPd3Pt",
  "functional": "GGA-PBE",
  "state": "optimized geometry",
  "polymorph_energy_mev_per_atom": 67,
  "ef_ev_per_atom": -0.0871,
  "magnetic_moment_mub_per_cell": 0.0,
  "lattice": [[-1.337, -1.640, 2.020], [4.403, -3.260, 2.386], [1.521, 6.875, 6.586]],
  "species": ["Pd", "Pt", "As", "Pt", "As", "Pd", "Pd", "Pd", "Pd", "Pd"],
  "fractional_positions": [[0.333, 0.333, 0.180], [0.690, 0.618, 0.000], [0.000, 0.000, 0.250], [0.310, 0.382, 0.500], [0.000, 0.000, 0.750], [0.014, 0.971, 0.500], [0.667, 0.667, 0.320], [0.333, 0.333, 0.820], [0.986, 0.029, 0.000], [0.667, 0.667, 0.680]]
}

=====

Entry 13:
{
  "formula": "As2Pd8Pt",
  "functional": "GGA-PBE",
  "state": "optimized geometry",
  "ef_ev_per_atom": -0.2269,
  "magnetic_moment_mub_per_cell": 0.0,
  "lattice": [[-3.849, 0.984, 1.056], [1.389, -1.254, 6.206], [0.494, 6.096, 4.110]],
  "species": ["As", "Pd", "Pd", "Pd", "Pd", "Pd", "Pd", "As", "Pt", "Pd", "Pd"],
  "fractional_positions": [[0.303, 0.334, 0.362], [0.662, 0.242, 0.646], [0.178, 0.943, 0.613], [0.460, 0.254, 0.048], [0.337, 0.759, 0.294], [0.900, 0.530, 0.168], [0.821, 0.057, 0.326], [0.696, 0.667, 0.578], [0.000, 0.000, 0.970], [0.099, 0.471, 0.771], [0.539, 0.747, 0.891]]
}

=====

Entry 14:
{
  "formula": "AsPdPt3",
  "functional": "GGA-PBE",
  "state": "optimized geometry",
  "polymorph_energy_mev_per_atom": 752,
  "ef_ev_per_atom": 0.5767,
  "magnetic_moment_mub_per_cell": 0.0,
  "lattice": [[-1.311, -4.096, 1.712], [2.313, 0.894, 3.909], [-3.790, 1.962, 1.793]],
  "species": ["Pt", "Pd", "As", "Pt", "Pt"],
  "fractional_positions": [[0.000, 0.000, 0.500], [0.500, 0.500, 0.500], [0.000, 0.000, 0.000], [0.500, 0.000, 0.000], [0.000, 0.500, 0.000]]
}

=====

Entry 15:
{
  "formula": "As2Pd2Pt3",
  "functional": "GGA-PBE",
  "state": "optimized geometry",
  "ef_ev_per_atom": -0.2025,
  "magnetic_moment_mub_per_cell": 0.0,
  "lattice": [[3.837, -0.308, -0.323], [-3.124, 5.192, -1.986], [0.727, -0.789, 6.609]],
  "species": ["Pt", "As", "Pt", "Pd", "Pd", "As", "Pt"],
  "fractional_positions": [[0.151, 0.778, 0.542], [0.985, 0.131, 0.766], [0.500, 0.000, 0.000], [0.626, 0.564, 0.796], [0.374, 0.436, 0.204], [0.015, 0.869, 0.234], [0.849, 0.222, 0.458]]
}

=====

Entry 16:
{
  "formula": "As2Pd4Pt3",
  "functional": "GGA-PBE",
  "state": "optimized geometry",
  "ef_ev_per_atom": -0.1408,
  "magnetic_moment_mub_per_cell": 0.0,
  "lattice": [[3.759, 0.000, -1.036], [-0.406, 6.177, -1.473], [-0.266, 0.230, 6.372]],
  "species": ["As", "Pd", "Pd", "Pt", "Pt", "Pd", "Pt", "As", "Pd"],
  "fractional_positions": [[0.630, 0.417, 0.261], [0.568, 0.828, 0.136], [0.772, 0.181, 0.544], [0.104, 0.147, 0.209], [0.000, 0.500, 0.000], [0.228, 0.819, 0.456], [0.896, 0.853, 0.791], [0.370, 0.583, 0.739], [0.432, 0.172, 0.864]]
}

=====

Entry 17:
{
  "formula": "AsPd3Pt",
  "functional": "GGA-PBE",
  "state": "optimized geometry",
  "polymorph_energy_mev_per_atom": 1256,
  "ef_ev_per_atom": 1.1015,
  "magnetic_moment_mub_per_cell": 0.0,
  "lattice": [[4.860, 0.000, 0.000], [0.000, 4.860, 0.000], [0.000, 0.000, 4.860]],
  "species": ["As", "Pt", "Pd", "Pd", "Pd"],
  "fractional_positions": [[0.500, 0.500, 0.500], [0.000, 0.000, 0.000], [0.000, 0.500, 0.000], [0.500, 0.000, 0.000], [0.000, 0.000, 0.500]]
}

=====

Entry 18:
{
  "formula": "AsPdPt3",
  "functional": "GGA-PBE",
  "state": "optimized geometry",
  "polymorph_energy_mev_per_atom": 0,
  "ef_ev_per_atom": -0.1752,
  "magnetic_moment_mub_per_cell": 0.0,
  "lattice": [[5.568, -0.279, 0.000], [1.690, 3.733, 0.000], [0.000, 0.000, 7.801]],
  "species": ["Pt", "As", "As", "Pt", "Pd", "Pd", "Pt", "Pt", "Pt", "Pt"],
  "fractional_positions": [[0.081, 0.832, 0.301], [0.785, 0.980, 0.552], [0.776, 0.985, 0.052], [0.483, 0.632, 0.052], [0.073, 0.336, 0.052], [0.487, 0.630, 0.552], [0.078, 0.334, 0.552], [0.479, 0.134, 0.304], [0.081, 0.832, 0.804], [0.479, 0.134, 0.801]]
}

=====

Entry 19:
{
  "formula": "Pu2As4Pd3Pt",
  "functional": "GGA-PBE",
  "state": "optimized geometry",
  "ef_ev_per_atom": -0.6289,
  "magnetic_moment_mub_per_cell": 10.8,
  "lattice": [[4.443, 0.000, 0.000], [0.000, 4.443, 0.000], [0.000, 0.000, 9.800]],
  "species": ["Pd", "As", "As", "As", "Pu", "Pu", "Pd", "Pd", "As", "Pt"],
  "fractional_positions": [[0.000, 0.000, 0.500], [0.500, 0.500, 0.000], [0.000, 0.000, 0.000], [0.000, 0.500, 0.367], [0.500, 0.000, 0.245], [0.000, 0.500, 0.755], [0.500, 0.000, 0.880], [0.000, 0.500, 0.120], [0.500, 0.000, 0.633], [0.500, 0.500, 0.500]]
}

=====

Entry 20:
{
  "formula": "Rb2As2Pd2Pt",
  "functional": "GGA-PBE",
  "state": "optimized geometry",
  "ef_ev_per_atom": -0.3941,
  "magnetic_moment_mub_per_cell": 0.0,
  "lattice": [[-1.706, -3.990, -1.300], [3.114, -5.242, 4.110], [-5.035, -2.006, 4.873]],
  "species": ["Pd", "Pd", "As", "Rb", "Pt", "As", "Rb"],
  "fractional_positions": [[0.762, 0.584, 0.892], [0.238, 0.416, 0.108], [0.785, 0.280, 0.149], [0.551, 0.216, 0.682], [0.000, 0.000, 0.000], [0.215, 0.720, 0.851], [0.449, 0.784, 0.318]]
}